{
  "formula": "Ho4ThIn5",
  "functional": "PBE",
  "state": "optimized geometry",
  "cell": [[3.569, 0.000, 0.000], [0.000, 3.569, 0.000], [0.000, 0.000, 20.995]],
  "species": ["Ho", "In", "In", "Ho", "Ho", "Ho", "In", "In", "Th", "In"],
  "fractional_positions": [[0.000, 0.000, 0.794], [0.500, 0.500, 0.892], [0.500, 0.500, 0.696], [0.000, 0.000, 0.206], [0.000, 0.000, 0.402], [0.000, 0.000, 0.598], [0.500, 0.500, 0.108], [0.500, 0.500, 0.304], [0.000, 0.000, 0.000], [0.500, 0.500, 0.500]],
  "final_energy_ev_per_atom": -4.36,
  "formation_energy_ev_per_atom": -0.417,
  "dos_at_fermi_per_ev_cell": 7.88,
  "magnetic_moment_mub_per_cell": 0.00
}

***

{
  "formula": "HoTh2In",
  "functional": "PBE",
  "state": "optimized geometry",
  "cell": [[5.729, 0.000, 0.000], [0.000, 6.040, -0.337], [0.000, 0.491, 6.865]],
  "species": ["Th", "Th", "Th", "In", "Ho", "Ho", "In", "Th"],
  "fractional_positions": [[0.750, 0.898, 0.112], [0.250, 0.589, 0.132], [0.250, 0.102, 0.888], [0.750, 0.905, 0.612], [0.750, 0.388, 0.374], [0.250, 0.612, 0.626], [0.250, 0.095, 0.388], [0.750, 0.411, 0.868]],
  "final_energy_ev_per_atom": -5.60,
  "formation_energy_ev_per_atom": -0.062,
  "dos_at_fermi_per_ev_cell": 11.03,
  "magnetic_moment_mub_per_cell": 0.00
}

***

{
  "formula": "Ho2ThIn3",
  "functional": "PBE",
  "state": "optimized geometry",
  "cell": [[3.528, 0.000, 0.000], [0.000, 3.528, 0.000], [0.000, 0.000, 13.029]],
  "species": ["Ho", "In", "Ho", "In", "Th", "In"],
  "fractional_positions": [[0.500, 0.500, 0.162], [0.000, 0.000, 0.000], [0.500, 0.500, 0.838], [0.000, 0.000, 0.676], [0.500, 0.500, 0.500], [0.000, 0.000, 0.324]],
  "final_energy_ev_per_atom": -4.53,
  "formation_energy_ev_per_atom": -0.397,
  "dos_at_fermi_per_ev_cell": 5.61,
  "magnetic_moment_mub_per_cell": 0.00
}

***

{
  "formula": "Ho4ThIn2",
  "functional": "PBE",
  "state": "optimized geometry",
  "cell": [[-5.037, -0.129, 0.849], [-2.985, -3.064, -2.796], [-1.330, -8.604, 6.181]],
  "species": ["Ho", "Ho", "Ho", "Th", "Ho", "In", "In"],
  "fractional_positions": [[0.706, 0.706, 0.883], [0.294, 0.294, 0.117], [0.888, 0.888, 0.336], [0.500, 0.500, 0.500], [0.112, 0.112, 0.664], [0.602, 0.602, 0.194], [0.398, 0.398, 0.806]],
  "final_energy_ev_per_atom": -4.34,
  "formation_energy_ev_per_atom": 0.119,
  "dos_at_fermi_per_ev_cell": 9.08,
  "magnetic_moment_mub_per_cell": 0.00
}

***

{
  "formula": "Ho3ThIn",
  "functional": "PBE",
  "state": "optimized geometry",
  "cell": [[4.751, 0.000, 1.086], [0.000, 4.821, 0.000], [-0.418, 0.000, 12.767]],
  "species": ["Ho", "Ho", "In", "In", "Th", "Ho", "Ho", "Ho", "Ho", "Th"],
  "fractional_positions": [[0.374, 0.250, 0.900], [0.877, 0.750, 0.894], [0.672, 0.750, 0.303], [0.976, 0.250, 0.697], [0.474, 0.750, 0.700], [0.274, 0.750, 0.100], [0.771, 0.250, 0.106], [0.073, 0.750, 0.501], [0.575, 0.250, 0.499], [0.174, 0.250, 0.300]],
  "final_energy_ev_per_atom": -4.90,
  "formation_energy_ev_per_atom": -0.126,
  "dos_at_fermi_per_ev_cell": 14.57,
  "magnetic_moment_mub_per_cell": 0.00
}

***

{
  "formula": "HoTh3In4",
  "functional": "PBE",
  "state": "optimized geometry",
  "cell": [[-5.448, 4.062, 0.330], [-4.076, -5.372, -1.177], [-0.627, -1.618, 9.561]],
  "species": ["In", "Th", "In", "Th", "Th", "In", "Th", "Th", "In", "In", "Ho", "Th", "In", "Ho", "In", "In"],
  "fractional_positions": [[0.315, 0.501, 0.000], [0.564, 0.237, 0.750], [0.064, 0.262, 0.750], [0.064, 0.763, 0.250], [0.064, 0.763, 0.750], [0.814, 0.999, 0.500], [0.814, 0.000, 0.000], [0.564, 0.237, 0.250], [0.815, 0.499, 0.500], [0.564, 0.738, 0.750], [0.315, 0.500, 0.500], [0.314, 0.000, 0.500], [0.064, 0.262, 0.250], [0.815, 0.500, 0.000], [0.564, 0.738, 0.250], [0.314, 0.001, 0.000]],
  "final_energy_ev_per_atom": -4.96,
  "formation_energy_ev_per_atom": -0.236,
  "dos_at_fermi_per_ev_cell": 17.90,
  "magnetic_moment_mub_per_cell": 0.00
}

***

{
  "formula": "Ho4ThIn",
  "functional": "PBE",
  "state": "optimized geometry",
  "cell": [[5.228, 0.000, -0.002], [0.000, 5.229, -0.003], [0.003, 0.004, 7.732]],
  "species": ["Ho", "Ho", "Ho", "Ho", "Th", "In"],
  "fractional_positions": [[0.501, 0.997, 0.760], [0.001, 0.497, 0.237], [0.501, 0.997, 0.237], [0.001, 0.497, 0.760], [0.002, 0.997, 0.498], [0.501, 0.498, 0.998]],
  "final_energy_ev_per_atom": -4.33,
  "formation_energy_ev_per_atom": 0.412,
  "dos_at_fermi_per_ev_cell": 12.45,
  "magnetic_moment_mub_per_cell": 0.01
}

***

{
  "formula": "HoThIn4",
  "functional": "PBE",
  "state": "optimized geometry",
  "cell": [[6.041, 0.000, 0.000], [3.021, 5.232, 0.000], [3.021, 1.744, 4.933]],
  "species": ["Th", "In", "In", "In", "In", "Ho"],
  "fractional_positions": [[0.000, 0.000, 0.000], [0.625, 0.125, 0.625], [0.625, 0.625, 0.125], [0.625, 0.625, 0.625], [0.125, 0.625, 0.625], [0.250, 0.250, 0.250]],
  "final_energy_ev_per_atom": -4.09,
  "formation_energy_ev_per_atom": -0.264,
  "dos_at_fermi_per_ev_cell": 3.43,
  "magnetic_moment_mub_per_cell": 0.00
}

***

{
  "formula": "HoThIn6",
  "functional": "PBE",
  "state": "optimized geometry",
  "cell": [[-1.418, -2.802, 3.481], [1.323, -3.752, -2.481], [8.526, 0.464, 3.845]],
  "species": ["Th", "Ho", "In", "In", "In", "In", "In", "In"],
  "fractional_positions": [[0.000, 0.000, 0.000], [0.000, 0.000, 0.500], [0.500, 0.000, 0.743], [0.500, 0.500, 0.500], [0.000, 0.500, 0.257], [0.500, 0.000, 0.257], [0.500, 0.500, 0.000], [0.000, 0.500, 0.743]],
  "final_energy_ev_per_atom": -3.93,
  "formation_energy_ev_per_atom": -0.376,
  "dos_at_fermi_per_ev_cell": 3.00,
  "magnetic_moment_mub_per_cell": 0.00
}

***

{
  "formula": "HoThIn2",
  "functional": "PBE",
  "state": "optimized geometry",
  "cell": [[-1.909, -2.886, 2.913], [4.249, -0.252, 2.535], [-1.455, 3.806, 2.818]],
  "species": ["In", "Th", "Ho", "In"],
  "fractional_positions": [[0.000, 0.000, 0.500], [0.500, 0.000, 0.000], [0.500, 0.500, 0.500], [0.000, 0.500, 0.000]],
  "final_energy_ev_per_atom": -4.71,
  "formation_energy_ev_per_atom": -0.340,
  "dos_at_fermi_per_ev_cell": 4.15,
  "magnetic_moment_mub_per_cell": 0.00
}

***

{
  "formula": "Ho4ThIn",
  "functional": "PBE",
  "state": "optimized geometry",
  "cell": [[3.569, 0.000, 0.000], [0.000, 3.569, 0.000], [0.000, 0.000, 14.119]],
  "species": ["In", "Th", "Ho", "Ho", "Ho", "Ho"],
  "fractional_positions": [[0.500, 0.500, 0.500], [0.000, 0.000, 0.000], [0.000, 0.000, 0.647], [0.000, 0.000, 0.353], [0.500, 0.500, 0.171], [0.500, 0.500, 0.829]],
  "final_energy_ev_per_atom": -4.89,
  "formation_energy_ev_per_atom": -0.142,
  "dos_at_fermi_per_ev_cell": 7.27,
  "magnetic_moment_mub_per_cell": 0.00
}

***

{
  "formula": "Ho6ThIn3",
  "functional": "PBE",
  "state": "optimized geometry",
  "cell": [[-1.342, -2.842, -4.085], [-1.568, -7.826, 5.960], [-10.204, 4.668, 0.105]],
  "species": ["In", "Ho", "Ho", "Ho", "Th", "Ho", "In", "Ho", "Ho", "In", "Ho", "Th", "Ho", "In", "In", "In", "Ho", "Ho", "Ho", "Ho"],
  "fractional_positions": [[0.750, 0.640, 0.194], [0.250, 0.071, 0.906], [0.750, 0.861, 0.779], [0.250, 0.272, 0.516], [0.250, 0.954, 0.595], [0.250, 0.139, 0.221], [0.750, 0.240, 0.026], [0.750, 0.728, 0.484], [0.750, 0.929, 0.094], [0.250, 0.760, 0.974], [0.750, 0.178, 0.716], [0.750, 0.046, 0.405], [0.750, 0.359, 0.310], [0.250, 0.541, 0.390], [0.250, 0.360, 0.806], [0.750, 0.459, 0.610], [0.250, 0.641, 0.690], [0.750, 0.550, 0.905], [0.250, 0.822, 0.284], [0.250, 0.450, 0.095]],
  "final_energy_ev_per_atom": -4.58,
  "formation_energy_ev_per_atom": -0.273,
  "dos_at_fermi_per_ev_cell": 21.92,
  "magnetic_moment_mub_per_cell": 0.00
}